VASP calculation (PBE) on an optimized crystal structure of CeCuPO.

```
CeCuPO
1.0
3.867 0.000 0.000
0.000 3.867 0.000
0.000 0.000 8.193
Ce Cu P O
2 2 2 2
direct
0.250 0.250 0.158
0.750 0.750 0.842
0.250 0.750 0.500
0.750 0.250 0.500
0.250 0.250 0.668
0.750 0.750 0.332
0.250 0.750 0.000
0.750 0.250 0.000
```

Calculated values
Final energy   -27.83 eV/f.u.



VASP calculation (PBE) on an optimized crystal structure of Al2VN.

```
Al2VN
1.0
-3.291 3.291 2.334
3.291 -3.291 2.334
3.291 3.291 -2.334
Al V N
4 2 2
direct
0.031 0.625 0.906
0.375 0.281 0.406
0.719 0.125 0.094
0.875 0.969 0.594
0.250 0.750 0.500
0.500 0.500 0.000
0.000 0.000 0.000
0.750 0.250 0.500
```

Calculated values
Final energy   -25.03 eV/f.u.



VASP calculation (PBE) on an optimized crystal structure of LiSbTe2.

```
LiSbTe2
1.0
-2.185 2.185 5.742
2.185 -2.185 5.742
2.185 2.185 -5.742
Li Sb Te
1 1 2
direct
0.000 0.000 0.000
0.250 0.750 0.500
0.500 0.500 0.000
0.750 0.250 0.500
```

Calculated values
Final energy   -12.80 eV/f.u.



VASP calculation (PBE) on an optimized crystal structure of Cr3Fe5.

```
Cr3Fe5
1.0
5.577 0.000 0.000
0.000 4.479 0.000
-2.781 0.000 7.367
Cr Fe
6 10
direct
0.037 0.250 0.442
0.390 0.250 0.000
0.405 0.750 0.442
0.595 0.250 0.558
0.610 0.750 0.000
0.963 0.750 0.558
0.003 0.750 0.242
0.155 0.750 0.999
0.240 0.250 0.242
0.360 0.000 0.721
0.360 0.500 0.721
0.640 0.000 0.279
0.640 0.500 0.279
0.760 0.750 0.758
0.845 0.250 0.001
0.997 0.250 0.758
```

Calculated values
Formation energy   242.4 meV per atom
Final energy   -69.24 eV/f.u.



VASP calculation (PBE) on an optimized crystal structure of LiYGa4Ni2.

```
LiYGa4Ni2
1.0
2.061 1.190 8.518
-2.061 1.190 8.518
0.000 -2.380 8.518
Li Y Ga Ni
1 1 4 2
direct
0.000 0.000 0.000
0.500 0.500 0.500
0.098 0.098 0.098
0.371 0.371 0.371
0.629 0.629 0.629
0.902 0.902 0.902
0.267 0.267 0.267
0.733 0.733 0.733
```

Calculated values
Formation energy   -475.8 meV per atom
Final energy   -35.85 eV/f.u.



VASP calculation (PBE) on an optimized crystal structure of ScGa2Rh4.

```
ScGa2Rh4
1.0
-2.305 2.305 6.237
2.305 -2.305 6.237
2.305 2.305 -6.237
Sc Ga Rh
1 2 4
direct
0.000 0.000 0.000
0.387 0.387 0.000
0.613 0.613 0.000
0.000 0.500 0.500
0.197 0.197 0.000
0.500 0.000 0.500
0.803 0.803 0.000
```

Calculated values
Polymorph energy (0 for the lowest one)   899.6 meV per atom
Formation energy   350.2 meV per atom
Final energy   -39.34 eV/f.u.



VASP calculation (PBE) on an optimized crystal structure of UAuI2.

```
UAuI2
1.0
1.958 1.131 9.901
-1.958 1.131 9.901
0.000 -2.261 9.901
U Au I
1 1 2
direct
0.000 0.000 0.000
0.500 0.500 0.500
0.101 0.101 0.101
0.899 0.899 0.899
```

Calculated values
Final energy   -15.87 eV/f.u.



VASP calculation (PBE) on an optimized crystal structure of KHoI4.

```
KHoI4
1.0
7.569 -2.261 0.000
7.569 2.261 0.000
-1.875 0.000 8.634
K Ho I
1 1 4
direct
0.000 0.000 0.000
0.500 0.500 0.500
0.117 0.117 0.406
0.381 0.381 0.184
0.619 0.619 0.816
0.883 0.883 0.594
```

Calculated values
Polymorph energy (0 for the lowest one)   10.6 meV per atom
Final energy   -20.30 eV/f.u.



VASP calculation (PBE) on an optimized crystal structure of H2I2F.

```
H2I2F
1.0
7.627 0.000 0.000
0.000 7.627 0.000
0.000 0.000 3.643
H I F
4 4 2
direct
0.183 0.317 0.000
0.317 0.817 0.000
0.683 0.183 0.000
0.817 0.683 0.000
0.238 0.262 0.500
0.262 0.762 0.500
0.738 0.238 0.500
0.762 0.738 0.500
0.000 0.000 0.000
0.500 0.500 0.000
```

Calculated values
Polymorph energy (0 for the lowest one)   173.9 meV per atom
Final energy   -10.98 eV/f.u.



VASP calculation (PBE) on an optimized crystal structure of RbMg.

```
RbMg
1.0
10.848 0.000 0.000
-5.424 9.395 0.000
0.000 0.000 6.130
Rb Mg
6 6
direct
0.179 0.358 0.250
0.179 0.821 0.250
0.358 0.179 0.750
0.642 0.821 0.250
0.821 0.179 0.750
0.821 0.642 0.750
0.135 0.568 0.750
0.432 0.568 0.750
0.432 0.865 0.750
0.568 0.135 0.250
0.568 0.432 0.250
0.865 0.432 0.250
```

Calculated values
Formation energy   239.6 meV per atom
Final energy   -2.08 eV/f.u.



VASP calculation (PBE) on an optimized crystal structure of DyTmCd5.

```
DyTmCd5
1.0
5.102 0.000 0.000
0.000 5.102 0.000
0.000 0.000 6.920
Dy Tm Cd
1 1 5
direct
0.000 0.000 0.000
0.500 0.500 0.500
0.000 0.500 0.269
0.000 0.500 0.731
0.500 0.000 0.269
0.500 0.000 0.731
0.500 0.500 0.000
```

Calculated values
Formation energy   -79.3 meV per atom
Final energy   -14.20 eV/f.u.



VASP calculation (PBE) on an optimized crystal structure of VGeTe2I.

```
VGeTe2I
1.0
5.427 0.000 0.000
0.000 5.427 0.000
0.000 0.000 5.569
V Ge Te I
1 1 2 1
direct
0.000 0.000 0.000
0.500 0.500 0.500
0.000 0.500 0.500
0.500 0.000 0.500
0.500 0.500 0.000
```

Calculated values
Polymorph energy (0 for the lowest one)   379.8 meV per atom
Final energy   -17.94 eV/f.u.



VASP calculation (PBE) on an optimized crystal structure of Zr2TlCo.

```
Zr2TlCo
1.0
3.097 0.000 0.000
0.000 3.097 0.000
0.000 0.000 8.220
Zr Tl Co
2 1 1
direct
0.000 0.000 0.203
0.000 0.000 0.797
0.500 0.500 0.500
0.500 0.500 0.000
```

Calculated values
Formation energy   -140.8 meV per atom
Final energy   -27.13 eV/f.u.



VASP calculation (PBE) on an optimized crystal structure of Ce5Zr3As8.

```
Ce5Zr3As8
1.0
4.069 2.350 6.663
-4.069 2.350 6.663
0.000 -4.699 6.663
Ce Zr As
5 3 8
direct
0.000 0.000 0.000
0.000 0.500 0.500
0.500 0.000 0.500
0.500 0.500 0.000
0.500 0.500 0.500
0.000 0.000 0.500
0.000 0.500 0.000
0.500 0.000 0.000
0.236 0.750 0.750
0.244 0.244 0.244
0.250 0.250 0.764
0.250 0.764 0.250
0.750 0.236 0.750
0.750 0.750 0.236
0.756 0.756 0.756
0.764 0.250 0.250
```

Calculated values
Formation energy   -1320.3 meV per atom
Final energy   -113.64 eV/f.u.



VASP calculation (PBE) on an optimized crystal structure of Mn2HgCl.

```
Mn2HgCl
1.0
3.181 0.000 0.000
0.000 3.445 0.000
0.000 0.000 7.327
Mn Hg Cl
2 1 1
direct
0.000 0.000 0.225
0.000 0.000 0.775
0.500 0.500 0.000
0.500 0.000 0.500
```

Calculated values
Polymorph energy (0 for the lowest one)   39.6 meV per atom
Final energy   -20.07 eV/f.u.



VASP calculation (PBE) on an optimized crystal structure of Sn5TeS4.

```
Sn5TeS4
1.0
6.950 -2.103 0.000
6.950 2.103 0.000
-5.084 0.000 9.041
Sn Te S
5 1 4
direct
0.000 0.000 0.000
0.206 0.206 0.813
0.394 0.394 0.619
0.606 0.606 0.381
0.794 0.794 0.187
0.000 0.000 0.500
0.203 0.203 0.284
0.412 0.412 0.112
0.588 0.588 0.888
0.797 0.797 0.716
```

Calculated values
Final energy   -43.27 eV/f.u.



VASP calculation (PBE) on an optimized crystal structure of TaTcHg2.

```
TaTcHg2
1.0
2.898 0.000 0.000
0.000 2.898 0.000
0.000 0.000 8.733
Ta Tc Hg
1 1 2
direct
0.000 0.000 0.000
0.000 0.000 0.500
0.500 0.500 0.259
0.500 0.500 0.741
```

Calculated values
Polymorph energy (0 for the lowest one)   373.3 meV per atom
Formation energy   599.6 meV per atom
Final energy   -20.42 eV/f.u.



VASP calculation (PBE) on an optimized crystal structure of Sc2AsN.

```
Sc2AsN
1.0
0.000 3.157 3.157
3.157 0.000 3.157
3.157 3.157 0.000
Sc As N
2 1 1
direct
0.250 0.250 0.250
0.750 0.750 0.750
0.000 0.000 0.000
0.500 0.500 0.500
```

Calculated values
Polymorph energy (0 for the lowest one)   858.4 meV per atom
Final energy   -27.51 eV/f.u.



VASP calculation (PBE) on an optimized crystal structure of YSb2Ru.

```
YSb2Ru
1.0
3.505 0.000 0.000
0.000 3.987 0.000
0.000 0.000 6.436
Y Sb Ru
1 2 1
direct
0.000 0.000 0.000
0.000 0.000 0.471
0.500 0.500 0.763
0.500 0.500 0.322
```

Calculated values
Final energy   -24.97 eV/f.u.



VASP calculation (PBE) on an optimized crystal structure of LiCaCl.

```
LiCaCl
1.0
-1.785 1.785 7.108
1.785 -1.785 7.108
1.785 1.785 -7.108
Li Ca Cl
1 1 1
direct
0.000 0.000 0.000
0.328 0.328 0.000
0.726 0.726 0.000
```

Calculated values
Polymorph energy (0 for the lowest one)   133.0 meV per atom
Final energy   -8.62 eV/f.u.